Below is Sc5Sn4Hg after structural relaxation, with properties calculated at the GGA-PBE level.

abc: 9.1755 9.1755 5.9477
angles: 90.00 90.00 90.00
Space group I4 (No. 79)
Inequivalent atoms, fractional coordinates:
Sc  0.0000  0.0000  0.0000 x2
Sc  0.0910  0.6854  0.3122 x8
Sn  0.1038  0.7198  0.8117 x8
Hg  0.0000  0.0000  0.4900 x2

E_form   -0.374 eV per atom
Fermi-level density of states   0.8452 states/eV/atom

***

Below is Sc2SnHg after structural relaxation, with properties calculated at the GGA-PBE level.

abc: 7.7878 7.7878 6.5117
angles: 90.00 90.00 90.00
Space group I-42d (No. 122)
Inequivalent atoms, fractional coordinates:
Sc  0.2421  0.2500  0.1250 x8
Sn  0.0000  0.0000  0.5000 x4
Hg  0.0000  0.0000  0.0000 x4

E_form   -0.204 eV per atom
Fermi-level density of states   0.6790 states/eV/atom

***

Below is ScSn3Hg after structural relaxation, with properties calculated at the GGA-PBE level.

abc: 5.5638 5.5638 5.5638
angles: 90.00 90.00 90.00
Space group Pm-3m (No. 221)
Inequivalent atoms, fractional coordinates:
Sc  0.0000  0.0000  0.0000 x1
Sn  0.0000  0.0000  0.5000 x3
Hg  0.5000  0.5000  0.5000 x1

E_form   0.291 eV per atom
Fermi-level density of states   1.5446 states/eV/atom
Relative energy among the computed polymorphs   0.0 meV per atom

***

Below is ScSn2Hg after structural relaxation, with properties calculated at the GGA-PBE level.

abc: 4.5479 4.5479 17.8379
angles: 90.00 90.00 120.00
Space group R3m (No. 160, hexagonal axes)
Inequivalent atoms, fractional coordinates:
Sc  0.0000  0.0000  0.0000 x3
Sn  0.0000  0.0000  0.4072 x3
Sn  0.0000  0.0000  0.5821 x3
Hg  0.0000  0.0000  0.8261 x3

E_form   -0.117 eV per atom
Fermi-level density of states   0.6512 states/eV/atom

***

Below is ScSn2Hg after structural relaxation, with properties calculated at the GGA-PBE level.

abc: 4.6608 4.6608 4.3180
angles: 90.00 90.00 90.00
Space group P4/mmm (No. 123)
Inequivalent atoms, fractional coordinates:
Sc  0.0000  0.0000  0.0000 x1
Sn  0.0000  0.5000  0.5000 x2
Hg  0.5000  0.5000  0.0000 x1

E_form   -0.297 eV per atom
Fermi-level density of states   0.3390 states/eV/atom

***

Below is Sc2SnHg2 after structural relaxation, with properties calculated at the GGA-PBE level.

abc: 4.4754 4.9989 6.0078
angles: 77.07 68.53 63.67
Space group P-1 (No. 2)
Inequivalent atoms, fractional coordinates:
Sc  0.0957  0.1058  0.2017 x2
Sn  0.5000  0.5000  0.0000 x1
Hg  0.3021  0.2949  0.6003 x2

E_form   -0.377 eV per atom
Fermi-level density of states   0.3675 states/eV/atom
Relative energy among the computed polymorphs   0.0 meV per atom

***

Below is ScSn3Hg after structural relaxation, with properties calculated at the GGA-PBE level.

abc: 5.4875 5.4875 5.4875
angles: 90.00 90.00 90.00
Space group Pm-3m (No. 221)
Inequivalent atoms, fractional coordinates:
Sc  0.0000  0.0000  0.0000 x1
Sn  0.0000  0.5000  0.5000 x3
Hg  0.5000  0.5000  0.5000 x1

E_form   0.586 eV per atom
Fermi-level density of states   0.8026 states/eV/atom
Relative energy among the computed polymorphs   295.6 meV per atom

***

Below is Sc3SnHg2 after structural relaxation, with properties calculated at the GGA-PBE level.

abc: 5.0030 15.1210 3.5192
angles: 90.00 90.00 90.00
Space group Cmmm (No. 65)
Inequivalent atoms, fractional coordinates:
Sc  0.0000  0.0000  0.0000 x2
Sc  0.0000  0.3339  0.0000 x4
Sn  0.0000  0.5000  0.5000 x2
Hg  0.0000  0.1741  0.5000 x4

E_form   -0.472 eV per atom
Fermi-level density of states   0.8478 states/eV/atom
Relative energy among the computed polymorphs   7.5 meV per atom